No. 1
A plane-wave DFT calculation with PBE was carried out for crystalline Pm2PrSm5 at its relaxed geometry.

Lattice parameters (Å, degrees): 6.332 9.604 9.649 73.62 76.79 89.94
Space group P-1 (No. 2)
Asymmetric unit:
Pm 0.094 0.187 0.470
Pm 0.281 0.563 0.406
Pr 0.343 0.688 0.719
Sm 0.033 0.062 0.155
Sm 0.156 0.312 0.782
Sm 0.219 0.438 0.094
Sm 0.406 0.813 0.032
Sm 0.469 0.938 0.342

Properties
Distance to the lowest polymorph of the same formula: 0 meV per atom
Crystal system: triclinic
Formation energy from the elements: 0.012 eV per atom


No. 2
A plane-wave DFT calculation with PBE was carried out for crystalline Ti4Ge2C at its relaxed geometry.

Lattice parameters (Å, degrees): 6.916 9.833 3.146 90.00 90.00 90.00
Space group Pbam (No. 55)
Asymmetric unit:
Ti 0.133 0.190 0.000
Ti 0.181 0.932 0.500
Ge 0.063 0.644 0.500
C 0.000 0.000 0.000

Properties
Distance to the lowest polymorph of the same formula: 0 meV per atom
Crystal system: orthorhombic
Formation energy from the elements: -0.638 eV per atom


No. 3
A plane-wave DFT calculation with PBE was carried out for crystalline Y2MnZn2Rh5 at its relaxed geometry.

Lattice parameters (Å, degrees): 9.630 9.630 3.618 90.00 90.00 90.00
Space group P4/mbm (No. 127)
Asymmetric unit:
Y 0.174 0.326 0.000
Mn 0.000 0.000 0.000
Zn 0.125 0.625 0.000
Rh 0.000 0.500 0.500
Rh 0.066 0.800 0.500

Properties
Crystal system: tetragonal
Formation energy from the elements: -0.485 eV per atom


No. 4
A plane-wave DFT calculation with PBE was carried out for crystalline PaMnZn2 at its relaxed geometry.

Lattice parameters (Å, degrees): 3.018 3.018 7.582 90.00 90.00 90.00
Space group P4/mmm (No. 123)
Asymmetric unit:
Pa 0.000 0.000 0.000
Mn 0.000 0.000 0.500
Zn 0.500 0.500 0.297

Properties
Distance to the lowest polymorph of the same formula: 222 meV per atom
Crystal system: tetragonal
Formation energy from the elements: 0.053 eV per atom